{
  "formula": "AcHg2WO6",
  "functional": "GGA+U",
  "state": "optimized geometry",
  "e_tot_ev_per_atom": -5.83,
  "sg": "R3",
  "vol_a3_per_atom": 15.94,
  "lattice_angstrom": [[5.940, 0.000, 0.001], [2.970, 5.143, 0.001], [2.970, 1.715, 5.217]],
  "species": ["O", "O", "Hg", "O", "O", "O", "Hg", "O", "Ac", "W"],
  "frac_coords": [[0.123, 0.409, 0.811], [0.409, 0.657, 0.811], [0.050, 0.051, 0.848], [0.019, 0.549, 0.252], [0.549, 0.180, 0.252], [0.657, 0.123, 0.811], [0.549, 0.549, 0.352], [0.180, 0.019, 0.252], [0.811, 0.811, 0.568], [0.314, 0.314, 0.057]]
}